Entry 1:
Material: LiNbTlRh
Method: DFT, PBE-GGA
State: relaxed

Total magnetization = 0.00 Bohr magnetons per cell
Energy = -0.4105 Ry per atom
Space-group type = F-43m (216)
Volume = 66 Å³ per cell

```
4
Lattice="0.000 3.203 3.203 3.203 0.000 3.203 3.203 3.203 0.000" Properties=species:S:1:pos:R:3 pbc="T T T"
Li 0.000 0.000 0.000
Nb 1.602 1.602 1.602
Tl 4.805 4.805 4.805
Rh 3.203 3.203 3.203
```

Entry 2:
Material: LiNbZnRh
Method: DFT, PBE-GGA
State: relaxed

Total magnetization = 0.00 Bohr magnetons per cell
Energy = -0.3976 Ry per atom
Space-group type = F-43m (216)
Volume = 58 Å³ per cell

```
4
Lattice="0.000 3.080 3.080 3.080 0.000 3.080 3.080 3.080 0.000" Properties=species:S:1:pos:R:3 pbc="T T T"
Li 0.000 0.000 0.000
Nb 1.540 1.540 1.540
Zn 4.620 4.620 4.620
Rh 3.080 3.080 3.080
```

Entry 3:
Material: LiNbRu3
Method: DFT, PBE-GGA
State: relaxed

Energy above the most stable polymorph in this dataset = 0 meV/atom
Total magnetization = 0.00 Bohr magnetons per cell
Energy = -0.5398 Ry per atom
Space-group type = Pm-3m (221)
Volume = 70 Å³ per cell

```
5
Lattice="4.120 0.000 0.000 0.000 4.120 0.000 0.000 0.000 4.120" Properties=species:S:1:pos:R:3 pbc="T T T"
Li 0.000 0.000 0.000
Nb 2.060 2.060 2.060
Ru 0.000 0.000 2.060
Ru 0.000 2.060 0.000
Ru 2.060 0.000 0.000
```

Entry 4:
Material: LiNbRu3
Method: DFT, PBE-GGA
State: relaxed

Energy above the most stable polymorph in this dataset = 747 meV/atom
Total magnetization = 3.12 Bohr magnetons per cell
Energy = -0.4848 Ry per atom
Space-group type = Pm-3m (221)
Volume = 108 Å³ per cell

```
5
Lattice="4.761 0.000 0.000 0.000 4.761 0.000 0.000 0.000 4.761" Properties=species:S:1:pos:R:3 pbc="T T T"
Li 0.000 0.000 0.000
Nb 2.380 2.380 2.380
Ru 0.000 2.380 2.380
Ru 2.380 0.000 2.380
Ru 2.380 2.380 0.000
```

Entry 5:
Material: LiTmNbRu
Method: DFT, PBE-GGA
State: relaxed

Total magnetization = 0.00 Bohr magnetons per cell
Energy = -0.4798 Ry per atom
Space-group type = F-43m (216)
Volume = 71 Å³ per cell

```
4
Lattice="0.000 3.282 3.282 3.282 0.000 3.282 3.282 3.282 0.000" Properties=species:S:1:pos:R:3 pbc="T T T"
Li 0.000 0.000 0.000
Tm 4.922 4.922 4.922
Nb 1.641 1.641 1.641
Ru 3.282 3.282 3.282
```

Entry 6:
Material: LiNb2RuW
Method: DFT, PBE-GGA
State: relaxed

Total magnetization = 0.00 Bohr magnetons per cell
Energy = -0.5304 Ry per atom
Space-group type = P4/mmm (123)
Volume = 100 Å³ per cell

```
5
Lattice="4.760 0.000 0.000 0.000 4.760 0.000 0.000 0.000 4.418" Properties=species:S:1:pos:R:3 pbc="T T T"
Li 0.000 0.000 0.000
Nb 0.000 2.380 2.209
Nb 2.380 0.000 2.209
Ru 2.380 2.380 0.000
W 0.000 0.000 2.209
```

Entry 7:
Material: Li9Nb14S28
Method: DFT, PBE-GGA
State: relaxed

Total magnetization = 0.00 Bohr magnetons per cell
Energy = -0.4877 Ry per atom
Space-group type = P-1 (2)
Volume = 899 Å³ per cell
E_form (uncorrected) = -1.267 eV per atom

```
51
Lattice="5.843 0.000 0.000 2.911 11.814 0.000 0.003 3.372 13.017" Properties=species:S:1:pos:R:3 pbc="T T T"
Li 0.000 0.000 0.000
Li 2.919 11.821 6.505
Li 2.918 8.445 6.510
Li 2.924 8.449 13.014
Li 2.929 5.132 13.016
Li 5.828 10.054 0.001
Li 5.833 6.737 0.003
Li 5.839 6.741 6.508
Li 5.838 3.364 6.512
Nb 2.912 11.810 3.245
Nb 2.903 11.810 9.775
Nb 2.910 8.438 3.246
Nb 2.920 8.435 9.760
Nb 2.911 5.058 3.266
Nb 2.926 5.059 9.757
Nb 2.914 1.691 3.258
Nb 5.843 13.495 9.759
Nb 5.831 10.127 3.260
Nb 5.846 10.128 9.752
Nb 5.837 6.751 3.257
Nb 5.847 6.748 9.771
Nb 5.854 3.375 3.242
Nb 5.845 3.375 9.772
S 0.982 5.059 8.199
S 1.943 6.752 1.688
S 0.978 5.069 11.337
S 1.944 6.746 4.826
S 3.892 13.500 8.205
S 1.942 3.381 1.680
S 3.889 13.492 11.336
S 1.948 3.369 4.816
S 3.896 10.131 8.196
S 4.862 11.813 1.667
S 3.893 10.127 11.328
S 4.861 11.815 4.807
S 3.897 6.742 8.194
S 4.853 8.432 1.689
S 3.904 6.753 11.329
S 4.860 8.444 4.823
S 3.896 3.371 8.211
S 4.864 5.059 1.689
S 3.895 3.373 11.350
S 4.861 5.055 4.821
S 6.809 11.816 8.201
S 4.868 1.694 1.681
S 6.815 11.804 11.337
S 4.865 1.686 4.812
S 6.813 8.440 8.191
S 7.779 10.116 1.681
S 6.814 8.434 11.329
S 7.775 10.127 4.818
```

Entry 8:
Material: Li3NbS4
Method: DFT, PBE-GGA
State: relaxed

Energy above the most stable polymorph in this dataset = 0 meV/atom
Total magnetization = 0.00 Bohr magnetons per cell
Energy = -0.3816 Ry per atom
Space-group type = Pmn2_1 (31)
Volume = 357 Å³ per cell
E_form (uncorrected) = -1.151 eV per atom

```
16
Lattice="8.003 0.000 0.000 0.000 6.948 0.000 0.000 0.000 6.417" Properties=species:S:1:pos:R:3 pbc="T T T"
Li 0.000 1.083 0.000
Li 1.978 2.288 3.185
Li 2.024 4.660 6.393
Li 4.001 5.865 3.208
Li 5.979 4.660 6.393
Li 6.025 2.288 3.185
Nb 0.000 5.749 3.168
Nb 4.001 1.199 6.377
S 0.000 0.978 3.907
S 0.000 5.726 0.876
S 1.896 4.669 3.902
S 2.105 2.279 0.693
S 4.001 1.221 4.085
S 4.001 5.970 0.699
S 5.897 2.279 0.693
S 6.107 4.669 3.902
```